Tm2AsO: optimized geometry, GGA-PBE.

a = 7.262 Å, b = 7.262 Å, c = 7.262 Å
α = 31.42°, β = 31.42°, γ = 31.42°
Element x y z (fractional)
Tm1 0.000 0.000 0.000
Tm2 0.467 0.467 0.467
As1 0.871 0.871 0.871
O1 0.354 0.354 0.354

Results
formation energy (no corrections): -168.3 kJ per mole of atoms
calculated total energy: -6.382 eV per atom

Tm3As2O: optimized geometry, GGA-PBE.

a = 6.531 Å, b = 6.531 Å, c = 6.463 Å
α = 90.00°, β = 90.00°, γ = 67.43°
Element x y z (fractional)
Tm1 0.115 0.885 0.500
Tm2 0.333 0.356 0.869
Tm3 0.356 0.333 0.369
Tm4 0.644 0.667 0.869
Tm5 0.667 0.644 0.369
Tm6 0.885 0.115 0.000
As1 0.013 0.665 0.134
As2 0.335 0.987 0.134
As3 0.665 0.013 0.634
As4 0.987 0.335 0.634
O1 0.407 0.593 0.610
O2 0.593 0.407 0.110

Results
formation energy (no corrections): -168.8 kJ per mole of atoms
calculated total energy: -6.361 eV per atom

TmAsO4: optimized geometry, GGA-PBE.

a = 5.905 Å, b = 5.905 Å, c = 5.905 Å
α = 106.55°, β = 106.55°, γ = 115.48°
Element x y z (fractional)
Tm1 0.375 0.625 0.750
Tm2 0.625 0.375 0.250
As1 0.125 0.875 0.250
As2 0.875 0.125 0.750
O1 0.128 0.695 0.433
O2 0.238 0.305 0.933
O3 0.305 0.238 0.433
O4 0.305 0.872 0.067
O5 0.695 0.128 0.933
O6 0.695 0.762 0.567
O7 0.762 0.695 0.067
O8 0.872 0.305 0.567

Results
formation energy (no corrections): -231.2 kJ per mole of atoms
calculated total energy: -7.221 eV per atom

Tm3AsO6: optimized geometry, GGA-PBE.

a = 6.990 Å, b = 6.990 Å, c = 5.780 Å
α = 90.00°, β = 90.00°, γ = 102.99°
Element x y z (fractional)
Tm1 0.096 0.904 0.500
Tm2 0.197 0.413 0.538
Tm3 0.413 0.197 0.038
Tm4 0.587 0.803 0.538
Tm5 0.803 0.587 0.038
Tm6 0.904 0.096 0.000
As1 0.324 0.676 0.086
As2 0.676 0.324 0.586
O1 0.086 0.600 0.228
O2 0.150 0.177 0.266
O3 0.177 0.150 0.766
O4 0.278 0.722 0.632
O5 0.400 0.914 0.228
O6 0.464 0.536 0.275
O7 0.536 0.464 0.775
O8 0.600 0.086 0.728
O9 0.722 0.278 0.132
O10 0.823 0.850 0.266
O11 0.850 0.823 0.766
O12 0.914 0.400 0.728

Results
formation energy (no corrections): -289.2 kJ per mole of atoms
calculated total energy: -7.779 eV per atom

TmAsO3: optimized geometry, GGA-PBE.

a = 4.415 Å, b = 4.415 Å, c = 4.415 Å
α = 86.27°, β = 86.27°, γ = 86.27°
Element x y z (fractional)
Tm1 0.000 0.000 0.000
As1 0.353 0.353 0.353
O1 0.081 0.081 0.513
O2 0.081 0.513 0.081
O3 0.513 0.081 0.081

Results
formation energy (no corrections): -236.6 kJ per mole of atoms
calculated total energy: -7.251 eV per atom

Tm2AsO: optimized geometry, GGA-PBE.

a = 6.418 Å, b = 6.418 Å, c = 6.418 Å
α = 33.79°, β = 33.79°, γ = 33.79°
Element x y z (fractional)
Tm1 0.238 0.238 0.238
Tm2 0.762 0.762 0.762
As1 0.000 0.000 0.000
O1 0.500 0.500 0.500

Results
formation energy (no corrections): -191.5 kJ per mole of atoms
calculated total energy: -6.623 eV per atom

What did the fourth record say?
Tm3AsO6: optimized geometry, GGA-PBE.

a = 6.990 Å, b = 6.990 Å, c = 5.780 Å
α = 90.00°, β = 90.00°, γ = 102.99°
Element x y z (fractional)
Tm1 0.096 0.904 0.500
Tm2 0.197 0.413 0.538
Tm3 0.413 0.197 0.038
Tm4 0.587 0.803 0.538
Tm5 0.803 0.587 0.038
Tm6 0.904 0.096 0.000
As1 0.324 0.676 0.086
As2 0.676 0.324 0.586
O1 0.086 0.600 0.228
O2 0.150 0.177 0.266
O3 0.177 0.150 0.766
O4 0.278 0.722 0.632
O5 0.400 0.914 0.228
O6 0.464 0.536 0.275
O7 0.536 0.464 0.775
O8 0.600 0.086 0.728
O9 0.722 0.278 0.132
O10 0.823 0.850 0.266
O11 0.850 0.823 0.766
O12 0.914 0.400 0.728

Results
formation energy (no corrections): -289.2 kJ per mole of atoms
calculated total energy: -7.779 eV per atom